Entry 1:
The following is a DFT calculation (GGA-PBE) of crystalline Be2AlHgGe at its relaxed geometry.

Properties
**Energy relative to the elements**: 902 meV per atom
**Spin magnetization**: 0.000 Bohr magnetons per cell
**Density of states at the Fermi level**: 0.4233 states/eV/atom
**Space group**: P4/mmm
**Total DFT energy (no corrections)**: -2.3211 eV per atom

POSCAR file:
```
Be2AlHgGe
1.0
4.4176 0.0000 0.0000
0.0000 4.4176 0.0000
0.0000 0.0000 5.1555
Be Al Hg Ge
2 1 1 1
Direct
0.0000 0.5000 0.0000
0.5000 0.0000 0.0000
0.0000 0.0000 0.5000
0.0000 0.0000 0.0000
0.5000 0.5000 0.5000
```

***

Entry 2:
The following is a DFT calculation (GGA-PBE) of crystalline La2Be3AlGe4 at its relaxed geometry.

Properties
**Energy relative to the elements**: -367 meV per atom
**Spin magnetization**: 0.000 Bohr magnetons per cell
**Density of states at the Fermi level**: 0.4093 states/eV/atom
**Space group**: P-4m2
**Total DFT energy (no corrections)**: -4.6915 eV per atom

POSCAR file:
```
La2Be3AlGe4
1.0
4.3181 0.0000 0.0000
0.0000 4.3181 0.0000
0.0000 0.0000 9.6299
La Be Al Ge
2 3 1 4
Direct
0.0000 0.5000 0.2410
0.5000 0.0000 0.7590
0.0000 0.5000 0.8840
0.5000 0.0000 0.1160
0.5000 0.5000 0.5000
0.0000 0.0000 0.5000
0.0000 0.0000 0.0000
0.0000 0.5000 0.6391
0.5000 0.0000 0.3609
0.5000 0.5000 0.0000
```

***

Entry 3:
The following is a DFT calculation (GGA-PBE) of crystalline BeAlGe2N at its relaxed geometry.

Properties
**Spin magnetization**: 0.000 Bohr magnetons per cell
**Density of states at the Fermi level**: 0.2534 states/eV/atom
**Space group**: P4/mmm
**Total DFT energy (no corrections)**: -3.8373 eV per atom
**Formation energy from raw total energies**: 1.1685 eV per atom

POSCAR file:
```
BeAlGe2N
1.0
4.2605 0.0000 0.0000
0.0000 4.2605 0.0000
0.0000 0.0000 4.3373
Be Al Ge N
1 1 2 1
Direct
0.0000 0.0000 0.0000
0.0000 0.0000 0.5000
0.0000 0.5000 0.0000
0.5000 0.0000 0.0000
0.5000 0.5000 0.5000
```

***

Entry 4:
The following is a DFT calculation (GGA-PBE) of crystalline Be2Al2Ni5Ge at its relaxed geometry.

Properties
**Energy relative to the elements**: -389 meV per atom
**Spin magnetization**: 0.000 Bohr magnetons per cell
**Density of states at the Fermi level**: 0.4585 states/eV/atom
**Space group**: P4/mbm
**Total DFT energy (no corrections)**: -5.2355 eV per atom

POSCAR file:
```
Be2Al2Ni5Ge
1.0
8.4370 0.0000 0.0000
0.0000 8.4370 0.0000
0.0000 0.0000 3.1520
Be Al Ni Ge
4 4 10 2
Direct
0.1227 0.3773 0.0000
0.3773 0.8773 0.0000
0.6227 0.1227 0.0000
0.8773 0.6227 0.0000
0.1718 0.6718 0.0000
0.3282 0.1718 0.0000
0.6718 0.8282 0.0000
0.8282 0.3282 0.0000
0.0000 0.5000 0.5000
0.0790 0.2047 0.5000
0.2047 0.9210 0.5000
0.2953 0.4210 0.5000
0.4210 0.7047 0.5000
0.5000 0.0000 0.5000
0.5790 0.2953 0.5000
0.7047 0.5790 0.5000
0.7953 0.0790 0.5000
0.9210 0.7953 0.5000
0.0000 0.0000 0.0000
0.5000 0.5000 0.0000
```

***

Entry 5:
The following is a DFT calculation (GGA-PBE) of crystalline Be2AlGeO6 at its relaxed geometry.

Properties
**Spin magnetization**: 2.031 Bohr magnetons per cell
**Density of states at the Fermi level**: 0.1949 states/eV/atom
**Space group**: C2/c
**Total DFT energy (no corrections)**: -6.7577 eV per atom
**Formation energy from raw total energies**: -2.2016 eV per atom

POSCAR file:
```
Be2AlGeO6
1.0
4.8408 -4.0832 0.0000
4.8408 4.0832 0.0000
-2.0450 0.0000 4.6616
Be Al Ge O
4 2 2 12
Direct
0.1251 0.2809 0.1696
0.2809 0.1251 0.6696
0.7191 0.8749 0.3304
0.8749 0.7191 0.8304
0.4061 0.5939 0.7500
0.5939 0.4061 0.2500
0.2307 0.7693 0.2500
0.7693 0.2307 0.7500
0.0800 0.2161 0.8162
0.1378 0.6472 0.8437
0.2161 0.0800 0.3162
0.3015 0.4746 0.3304
0.3528 0.8622 0.6563
0.4746 0.3015 0.8304
0.5254 0.6985 0.1696
0.6472 0.1378 0.3437
0.6985 0.5254 0.6696
0.7839 0.9200 0.6838
0.8622 0.3528 0.1563
0.9200 0.7839 0.1838
```

***

Entry 6:
The following is a DFT calculation (GGA-PBE) of crystalline BeAlGeO2 at its relaxed geometry.

Properties
**Spin magnetization**: 0.000 Bohr magnetons per cell
**Density of states at the Fermi level**: 0.4729 states/eV/atom
**Space group**: P4/mmm
**Total DFT energy (no corrections)**: -5.0459 eV per atom
**Formation energy from raw total energies**: -0.6453 eV per atom

POSCAR file:
```
BeAlGeO2
1.0
3.5395 0.0000 0.0000
0.0000 3.5395 0.0000
0.0000 0.0000 5.4990
Be Al Ge O
1 1 1 2
Direct
0.0000 0.0000 0.0000
0.0000 0.0000 0.5000
0.5000 0.5000 0.0000
0.0000 0.5000 0.5000
0.5000 0.0000 0.5000
```

***

Entry 7:
The following is a DFT calculation (GGA-PBE) of crystalline BeAlGe2Pb at its relaxed geometry.

Properties
**Energy relative to the elements**: 1536 meV per atom
**Spin magnetization**: 0.000 Bohr magnetons per cell
**Density of states at the Fermi level**: 0.8697 states/eV/atom
**Energy above the lowest structure with this stoichiometry**: 0.883 eV/atom
**Space group**: P4/mmm
**Total DFT energy (no corrections)**: -2.5466 eV per atom

POSCAR file:
```
BeAlGe2Pb
1.0
5.4186 0.0000 0.0000
0.0000 5.4186 0.0000
0.0000 0.0000 5.4386
Be Al Ge Pb
1 1 2 1
Direct
0.0000 0.0000 0.0000
0.5000 0.5000 0.0000
0.0000 0.5000 0.5000
0.5000 0.0000 0.5000
0.5000 0.5000 0.5000
```

***

Entry 8:
The following is a DFT calculation (GGA-PBE) of crystalline BeAlGe2Pb at its relaxed geometry.

Properties
**Energy relative to the elements**: 653 meV per atom
**Spin magnetization**: 0.000 Bohr magnetons per cell
**Density of states at the Fermi level**: 0.5801 states/eV/atom
**Energy above the lowest structure with this stoichiometry**: 0.000 eV/atom
**Space group**: P4/mmm
**Total DFT energy (no corrections)**: -3.4296 eV per atom

POSCAR file:
```
BeAlGe2Pb
1.0
5.0295 0.0000 0.0000
0.0000 5.0295 0.0000
0.0000 0.0000 4.4917
Be Al Ge Pb
1 1 2 1
Direct
0.0000 0.0000 0.0000
0.0000 0.0000 0.5000
0.0000 0.5000 0.5000
0.5000 0.0000 0.5000
0.5000 0.5000 0.0000
```

***

Entry 9:
The following is a DFT calculation (GGA-PBE) of crystalline Pm2Be4AlGe3 at its relaxed geometry.

Properties
**Energy relative to the elements**: -367 meV per atom
**Spin magnetization**: 0.000 Bohr magnetons per cell
**Density of states at the Fermi level**: 0.2885 states/eV/atom
**Space group**: P-4m2
**Total DFT energy (no corrections)**: -4.5675 eV per atom

POSCAR file:
```
Pm2Be4AlGe3
1.0
4.0354 0.0000 0.0000
0.0000 4.0354 0.0000
0.0000 0.0000 9.8505
Pm Be Al Ge
2 4 1 3
Direct
0.0000 0.5000 0.2466
0.5000 0.0000 0.7534
0.0000 0.0000 0.0000
0.0000 0.5000 0.6369
0.5000 0.0000 0.3631
0.5000 0.5000 0.0000
0.0000 0.0000 0.5000
0.0000 0.5000 0.8718
0.5000 0.0000 0.1282
0.5000 0.5000 0.5000
```

***

Entry 10:
The following is a DFT calculation (GGA-PBE) of crystalline BeAlGe2Pt at its relaxed geometry.

Properties
**Energy relative to the elements**: 892 meV per atom
**Spin magnetization**: 0.000 Bohr magnetons per cell
**Density of states at the Fermi level**: 0.7154 states/eV/atom
**Energy above the lowest structure with this stoichiometry**: 0.530 eV/atom
**Space group**: P4/mmm
**Total DFT energy (no corrections)**: -3.6564 eV per atom

POSCAR file:
```
BeAlGe2Pt
1.0
4.8051 0.0000 0.0000
0.0000 4.8051 0.0000
0.0000 0.0000 4.2287
Be Al Ge Pt
1 1 2 1
Direct
0.0000 0.0000 0.0000
0.0000 0.0000 0.5000
0.0000 0.5000 0.5000
0.5000 0.0000 0.5000
0.5000 0.5000 0.0000
```

***

Entry 11:
The following is a DFT calculation (GGA-PBE) of crystalline BeAlGe2Pt at its relaxed geometry.

Properties
**Energy relative to the elements**: 363 meV per atom
**Spin magnetization**: 0.000 Bohr magnetons per cell
**Density of states at the Fermi level**: 0.7501 states/eV/atom
**Energy above the lowest structure with this stoichiometry**: 0.000 eV/atom
**Space group**: P4/mmm
**Total DFT energy (no corrections)**: -4.1859 eV per atom

POSCAR file:
```
BeAlGe2Pt
1.0
4.9013 0.0000 0.0000
0.0000 4.9013 0.0000
0.0000 0.0000 4.3094
Be Al Ge Pt
1 1 2 1
Direct
0.0000 0.0000 0.0000
0.5000 0.5000 0.0000
0.0000 0.5000 0.5000
0.5000 0.0000 0.5000
0.0000 0.0000 0.5000
```

***

Entry 12:
The following is a DFT calculation (GGA-PBE) of crystalline Pu2Be3AlGe4 at its relaxed geometry.

Properties
**Energy relative to the elements**: -238 meV per atom
**Spin magnetization**: 11.401 Bohr magnetons per cell
**Density of states at the Fermi level**: 1.7152 states/eV/atom
**Space group**: P-4m2
**Total DFT energy (no corrections)**: -6.4436 eV per atom

POSCAR file:
```
Pu2Be3AlGe4
1.0
4.1270 0.0000 0.0000
0.0000 4.1270 0.0000
0.0000 0.0000 9.7082
Pu Be Al Ge
2 3 1 4
Direct
0.0000 0.5000 0.2372
0.5000 0.0000 0.7628
0.0000 0.5000 0.8799
0.5000 0.0000 0.1201
0.5000 0.5000 0.5000
0.0000 0.0000 0.5000
0.0000 0.0000 0.0000
0.0000 0.5000 0.6468
0.5000 0.0000 0.3532
0.5000 0.5000 0.0000
```

***

Entry 13:
The following is a DFT calculation (GGA-PBE) of crystalline BeAlSi2Ge at its relaxed geometry.

Properties
**Spin magnetization**: 0.000 Bohr magnetons per cell
**Density of states at the Fermi level**: 0.6922 states/eV/atom
**Space group**: P4/mmm
**Total DFT energy (no corrections)**: -3.3657 eV per atom
**Formation energy from raw total energies**: 1.2207 eV per atom

POSCAR file:
```
BeAlSi2Ge
1.0
4.7102 0.0000 0.0000
0.0000 4.7102 0.0000
0.0000 0.0000 4.8284
Be Al Si Ge
1 1 2 1
Direct
0.0000 0.0000 0.0000
0.5000 0.5000 0.5000
0.0000 0.5000 0.5000
0.5000 0.0000 0.5000
0.5000 0.5000 0.0000
```

***

Entry 14:
The following is a DFT calculation (GGA-PBE) of crystalline BeAlSiGe2 at its relaxed geometry.

Properties
**Spin magnetization**: 0.000 Bohr magnetons per cell
**Density of states at the Fermi level**: 0.4970 states/eV/atom
**Space group**: P4/mmm
**Total DFT energy (no corrections)**: -3.3036 eV per atom
**Formation energy from raw total energies**: 1.1217 eV per atom

POSCAR file:
```
BeAlSiGe2
1.0
4.8146 0.0000 0.0000
0.0000 4.8146 0.0000
0.0000 0.0000 4.7173
Be Al Si Ge
1 1 1 2
Direct
0.0000 0.0000 0.0000
0.5000 0.5000 0.5000
0.5000 0.5000 0.0000
0.0000 0.5000 0.5000
0.5000 0.0000 0.5000
```

***

Entry 15:
The following is a DFT calculation (GGA-PBE) of crystalline BeAlTcGe2 at its relaxed geometry.

Properties
**Energy relative to the elements**: 1346 meV per atom
**Spin magnetization**: 1.535 Bohr magnetons per cell
**Density of states at the Fermi level**: 0.5873 states/eV/atom
**Space group**: P4/mmm
**Total DFT energy (no corrections)**: -4.0675 eV per atom

POSCAR file:
```
BeAlTcGe2
1.0
4.7022 0.0000 0.0000
0.0000 4.7022 0.0000
0.0000 0.0000 4.6495
Be Al Tc Ge
1 1 1 2
Direct
0.0000 0.0000 0.0000
0.5000 0.5000 0.5000
0.5000 0.5000 0.0000
0.0000 0.5000 0.5000
0.5000 0.0000 0.5000
```

***

Entry 16:
The following is a DFT calculation (GGA-PBE) of crystalline BeAlH5 at its relaxed geometry.

Properties
**Spin magnetization**: 0.000 Bohr magnetons per cell
**Density of states at the Fermi level**: 0.0000 states/eV/atom
**Energy above the lowest structure with this stoichiometry**: 0.000 eV/atom
**Space group**: P2_1
**Total DFT energy (no corrections)**: -3.5019 eV per atom

POSCAR file:
```
BeAlH5
1.0
4.6366 0.0000 0.0000
0.0000 4.2647 0.0000
-0.3505 0.0000 6.1786
Be Al H
2 2 10
Direct
0.0036 0.0000 0.1192
0.9964 0.5000 0.8808
0.2430 0.7392 0.5007
0.7570 0.2392 0.4993
0.0644 0.0559 0.5928
0.1284 0.2677 0.0198
0.2400 0.5819 0.7580
0.2572 0.8922 0.2425
0.4413 0.4259 0.4175
0.5587 0.9259 0.5825
0.7428 0.3922 0.7575
0.7600 0.0819 0.2420
0.8716 0.7677 0.9802
0.9356 0.5559 0.4072
```

***

Entry 17:
The following is a DFT calculation (GGA-PBE) of crystalline BeAl2H at its relaxed geometry.

Properties
**Spin magnetization**: 0.000 Bohr magnetons per cell
**Density of states at the Fermi level**: 0.1628 states/eV/atom
**Energy above the lowest structure with this stoichiometry**: 0.016 eV/atom
**Space group**: P-1
**Total DFT energy (no corrections)**: -3.4612 eV per atom

POSCAR file:
```
BeAl2H
1.0
4.6360 0.0000 0.0000
1.0291 4.5617 0.0000
1.3888 1.1128 4.4776
Be Al H
2 4 2
Direct
0.1231 0.3147 0.1282
0.8769 0.6853 0.8718
0.0088 0.7859 0.3038
0.4272 0.7005 0.6819
0.5728 0.2995 0.3181
0.9912 0.2141 0.6962
0.4525 0.2552 0.0038
0.5475 0.7448 0.9962
```

***

Entry 18:
The following is a DFT calculation (GGA-PBE) of crystalline BeAl2H at its relaxed geometry.

Properties
**Spin magnetization**: 0.000 Bohr magnetons per cell
**Density of states at the Fermi level**: 0.1912 states/eV/atom
**Energy above the lowest structure with this stoichiometry**: 0.041 eV/atom
**Space group**: P1
**Total DFT energy (no corrections)**: -3.4355 eV per atom

POSCAR file:
```
BeAl2H
1.0
3.8387 0.0000 0.0000
0.0973 4.4242 0.0000
0.7032 1.9913 5.7542
Be Al H
2 4 2
Direct
0.0000 0.0000 0.0000
0.4943 0.7292 0.0472
0.0686 0.6184 0.7637
0.5679 0.1757 0.6929
0.6239 0.8002 0.4230
0.9569 0.3662 0.2504
0.2751 0.9115 0.1800
0.4305 0.3957 0.1988
```

***

Entry 19:
The following is a DFT calculation (GGA-PBE) of crystalline BeAl3H at its relaxed geometry.

Properties
**Spin magnetization**: 0.000 Bohr magnetons per cell
**Density of states at the Fermi level**: 0.3535 states/eV/atom
**Energy above the lowest structure with this stoichiometry**: 0.000 eV/atom
**Space group**: Pm-3m
**Total DFT energy (no corrections)**: -3.3399 eV per atom

POSCAR file:
```
BeAl3H
1.0
3.9557 0.0000 0.0000
0.0000 3.9557 0.0000
0.0000 0.0000 3.9557
Be Al H
1 3 1
Direct
0.0000 0.0000 0.0000
0.0000 0.5000 0.5000
0.5000 0.0000 0.5000
0.5000 0.5000 0.0000
0.5000 0.5000 0.5000
```

***

Entry 20:
The following is a DFT calculation (GGA-PBE) of crystalline Be3AlH at its relaxed geometry.

Properties
**Spin magnetization**: 0.120 Bohr magnetons per cell
**Density of states at the Fermi level**: 0.2875 states/eV/atom
**Energy above the lowest structure with this stoichiometry**: 1.055 eV/atom
**Space group**: Pm-3m
**Total DFT energy (no corrections)**: -2.1838 eV per atom

POSCAR file:
```
Be3AlH
1.0
4.4023 0.0000 0.0000
0.0000 4.4023 0.0000
0.0000 0.0000 4.4023
Be Al H
3 1 1
Direct
0.0000 0.0000 0.5000
0.0000 0.5000 0.0000
0.5000 0.0000 0.0000
0.0000 0.0000 0.0000
0.5000 0.5000 0.5000
```